Entry from Alexandria via LeMat-Bulk: a relaxed structure of HoNpSi (PBE).

Output
DOS(E_F)   27.4 states/eV per cell
Raw formation energy   0.125 eV/atom

Cell lengths 3.0392, 7.6958, 11.6903 Å; angles 90.00, 90.00, 90.00 degrees
Closest atoms and distances in Å follow each position.
Sites, in units of the cell vectors:
1 Ho 0.5000 0.8783 0.3205  4 Si 3.01-3.09, 3 Ho 3.04-3.33, 3 Np 3.06-3.33
2 Np 0.5000 0.2541 0.4071  4 Si 2.90, 2 Ho 2.97-3.06, 2 Np 3.04
3 Np 0.5000 0.3388 0.9610  2 Np 3.04, 3 Ho 3.04-3.34, 4 Si 3.20-3.26
4 Np 0.5000 0.8388 0.0390  2 Np 3.04, 3 Ho 3.04-3.34, 4 Si 3.20-3.26
5 Si 0.0000 0.1444 0.1717  2 Si 3.04, 4 Ho 3.05-3.09, 6 Np 3.20-3.26
6 Si 0.0000 0.0744 0.5821  4 Np 2.90, 4 Ho 3.01-3.02, 2 Si 3.04
7 Si 0.0000 0.5744 0.4179  4 Np 2.90, 4 Ho 3.01-3.02, 2 Si 3.04
8 Si 0.0000 0.6444 0.8283  2 Si 3.04, 4 Ho 3.05-3.09, 6 Np 3.20-3.26
9 Np 0.5000 0.7541 0.5929  4 Si 2.90, 2 Ho 2.97-3.06, 2 Np 3.04
10 Ho 0.5000 0.9841 0.7970  2 Np 2.97-3.04, 4 Si 3.02-3.05, 2 Ho 3.04
11 Ho 0.5000 0.3783 0.6795  4 Si 3.01-3.09, 3 Ho 3.04-3.33, 3 Np 3.06-3.33
12 Ho 0.5000 0.4841 0.2030  2 Np 2.97-3.04, 4 Si 3.02-3.05, 2 Ho 3.04